Here is a relaxed structure of Ho6ErCd2 from Alexandria. Energies are from PBE.

a b c (Å): 6.529 6.529 11.779
angles (deg): 108.01 108.01 33.08
Element x y z (fractional)
1 Ho 0.015 0.015 0.339
2 Ho 0.313 0.313 0.416
3 Ho 0.315 0.315 0.123
4 Ho 0.685 0.685 0.877
5 Ho 0.687 0.687 0.584
6 Ho 0.985 0.985 0.661
7 Er 0.000 0.000 0.000
8 Cd 0.354 0.354 0.793
9 Cd 0.646 0.646 0.207

## Properties
- ΔH_f (0 K) (eV/atom) = -0.13
- space group = C2/m
- electronic total energy (Ry/atom) = -0.2858

=====

Here is a relaxed structure of Ho3Er5Cd from Alexandria. Energies are from PBE.

a b c (Å): 8.156 8.156 9.983
angles (deg): 103.33 103.33 86.79
Element x y z (fractional)
1 Ho 0.000 0.000 0.000
2 Ho 0.002 0.002 0.673
3 Ho 0.495 0.495 0.817
4 Ho 0.500 0.500 0.500
5 Ho 0.505 0.505 0.183
6 Ho 0.998 0.998 0.327
7 Er 0.074 0.556 0.212
8 Er 0.248 0.248 0.589
9 Er 0.262 0.262 0.946
10 Er 0.263 0.737 0.000
11 Er 0.444 0.926 0.788
12 Er 0.556 0.074 0.212
13 Er 0.737 0.263 0.000
14 Er 0.738 0.738 0.054
15 Er 0.752 0.752 0.411
16 Er 0.926 0.444 0.788
17 Cd 0.234 0.234 0.266
18 Cd 0.766 0.766 0.734

## Properties
- ΔH_f (0 K) (eV/atom) = 0.42
- space group = C2/m
- electronic total energy (Ry/atom) = -0.2747

=====

Here is a relaxed structure of Ho5Er4Cd from Alexandria. Energies are from PBE.

a b c (Å): 3.521 3.521 24.037
angles (deg): 90.00 90.00 90.00
Element x y z (fractional)
1 Ho 0.000 0.000 0.000
2 Ho 0.000 0.000 0.207
3 Ho 0.000 0.000 0.413
4 Ho 0.000 0.000 0.587
5 Ho 0.000 0.000 0.793
6 Er 0.500 0.500 0.103
7 Er 0.500 0.500 0.310
8 Er 0.500 0.500 0.690
9 Er 0.500 0.500 0.897
10 Cd 0.500 0.500 0.500

## Properties
- ΔH_f (0 K) (eV/atom) = -0.04
- E above lowest polymorph (eV/atom) = 0.000
- space group = P4/mmm
- electronic total energy (Ry/atom) = -0.3123

=====

Here is a relaxed structure of HoEr4Cd5 from Alexandria. Energies are from PBE.

a b c (Å): 3.711 3.711 18.624
angles (deg): 90.00 90.00 90.00
Element x y z (fractional)
1 Ho 0.000 0.000 0.000
2 Er 0.000 0.000 0.201
3 Er 0.000 0.000 0.400
4 Er 0.000 0.000 0.600
5 Er 0.000 0.000 0.799
6 Cd 0.500 0.500 0.101
7 Cd 0.500 0.500 0.300
8 Cd 0.500 0.500 0.500
9 Cd 0.500 0.500 0.700
10 Cd 0.500 0.500 0.899

## Properties
- ΔH_f (0 K) (eV/atom) = -0.32
- space group = P4/mmm
- electronic total energy (Ry/atom) = -0.2247

=====

Here is a relaxed structure of Ho7Er12Cd from Alexandria. Energies are from PBE.

a b c (Å): 8.739 8.748 8.815
angles (deg): 70.58 83.17 77.53
Element x y z (fractional)
1 Ho 0.000 0.000 0.000
2 Ho 0.099 0.499 0.652
3 Ho 0.333 0.787 0.684
4 Ho 0.375 0.378 0.952
5 Ho 0.625 0.622 0.048
6 Ho 0.667 0.213 0.316
7 Ho 0.901 0.501 0.348
8 Er 0.012 0.879 0.379
9 Er 0.014 0.683 0.934
10 Er 0.263 0.560 0.260
11 Er 0.270 0.149 0.330
12 Er 0.342 0.942 0.051
13 Er 0.388 0.167 0.664
14 Er 0.612 0.833 0.336
15 Er 0.658 0.058 0.949
16 Er 0.730 0.851 0.670
17 Er 0.737 0.440 0.740
18 Er 0.986 0.317 0.066
19 Er 0.988 0.121 0.621
20 Cd 0.500 0.500 0.500

## Properties
- ΔH_f (0 K) (eV/atom) = 0.15
- space group = P-1
- electronic total energy (Ry/atom) = -0.3113

=====

Here is a relaxed structure of HoEr4Cd2 from Alexandria. Energies are from PBE.

a b c (Å): 10.495 10.495 10.495
angles (deg): 27.95 27.95 27.95
Element x y z (fractional)
1 Ho 0.000 0.000 0.000
2 Er 0.203 0.203 0.203
3 Er 0.393 0.393 0.393
4 Er 0.607 0.607 0.607
5 Er 0.797 0.797 0.797
6 Cd 0.100 0.100 0.100
7 Cd 0.900 0.900 0.900

## Properties
- ΔH_f (0 K) (eV/atom) = 0.22
- space group = R-3m
- electronic total energy (Ry/atom) = -0.2426

=====

Here is a relaxed structure of Ho2Er3Cd4 from Alexandria. Energies are from PBE.

a b c (Å): 9.859 9.859 8.006
angles (deg): 90.00 90.00 140.46
Element x y z (fractional)
1 Ho 0.092 0.908 0.899
2 Ho 0.408 0.592 0.399
3 Ho 0.592 0.408 0.601
4 Ho 0.908 0.092 0.101
5 Er 0.000 0.000 0.500
6 Er 0.005 0.495 0.750
7 Er 0.495 0.005 0.250
8 Er 0.500 0.500 0.000
9 Er 0.505 0.995 0.750
10 Er 0.995 0.505 0.250
11 Cd 0.160 0.840 0.519
12 Cd 0.174 0.326 0.750
13 Cd 0.326 0.174 0.250
14 Cd 0.340 0.660 0.019
15 Cd 0.660 0.340 0.981
16 Cd 0.674 0.826 0.750
17 Cd 0.826 0.674 0.250
18 Cd 0.840 0.160 0.481

## Properties
- ΔH_f (0 K) (eV/atom) = -0.14
- space group = Cmce
- electronic total energy (Ry/atom) = -0.2265

=====

Here is a relaxed structure of Ho5Er2Cd from Alexandria. Energies are from PBE.

a b c (Å): 8.064 8.064 7.335
angles (deg): 90.00 90.00 90.00
Element x y z (fractional)
1 Ho 0.000 0.000 0.000
2 Ho 0.225 0.225 0.314
3 Ho 0.225 0.775 0.314
4 Ho 0.275 0.275 0.814
5 Ho 0.275 0.725 0.814
6 Ho 0.500 0.500 0.500
7 Ho 0.725 0.275 0.814
8 Ho 0.725 0.725 0.814
9 Ho 0.775 0.225 0.314
10 Ho 0.775 0.775 0.314
11 Er 0.000 0.500 0.069
12 Er 0.000 0.500 0.569
13 Er 0.500 0.000 0.069
14 Er 0.500 0.000 0.569
15 Cd 0.000 0.000 0.579
16 Cd 0.500 0.500 0.079

## Properties
- ΔH_f (0 K) (eV/atom) = 0.00
- space group = I4mm
- electronic total energy (Ry/atom) = -0.3023

=====

Here is a relaxed structure of HoErCd6 from Alexandria. Energies are from PBE.

a b c (Å): 4.868 7.157 10.813
angles (deg): 90.00 90.00 90.00
Element x y z (fractional)
1 Ho 0.000 0.000 0.000
2 Ho 0.000 0.500 0.500
3 Er 0.500 0.000 0.733
4 Er 0.500 0.500 0.233
5 Cd 0.000 0.000 0.542
6 Cd 0.000 0.217 0.271
7 Cd 0.000 0.283 0.771
8 Cd 0.000 0.500 0.042
9 Cd 0.000 0.717 0.771
10 Cd 0.000 0.783 0.271
11 Cd 0.500 0.000 0.191
12 Cd 0.500 0.216 0.461
13 Cd 0.500 0.284 0.961
14 Cd 0.500 0.500 0.691
15 Cd 0.500 0.716 0.961
16 Cd 0.500 0.784 0.461

## Properties
- ΔH_f (0 K) (eV/atom) = -0.27
- space group = Amm2
- electronic total energy (Ry/atom) = -0.1541

=====

Here is a relaxed structure of Ho2ErCd4 from Alexandria. Energies are from PBE.

a b c (Å): 5.570 5.570 15.531
angles (deg): 90.00 90.00 90.00
Element x y z (fractional)
1 Ho 0.000 0.000 0.102
2 Ho 0.000 0.000 0.898
3 Ho 0.500 0.500 0.398
4 Ho 0.500 0.500 0.602
5 Er 0.000 0.000 0.500
6 Er 0.500 0.500 0.000
7 Cd 0.000 0.000 0.304
8 Cd 0.000 0.000 0.696
9 Cd 0.000 0.500 0.000
10 Cd 0.000 0.500 0.500
11 Cd 0.500 0.000 0.000
12 Cd 0.500 0.000 0.500
13 Cd 0.500 0.500 0.196
14 Cd 0.500 0.500 0.804

## Properties
- ΔH_f (0 K) (eV/atom) = 0.31
- E above lowest polymorph (eV/atom) = 0.465
- space group = I4/mmm
- electronic total energy (Ry/atom) = -0.1595

=====

Here is a relaxed structure of Ho4ErCd5 from Alexandria. Energies are from PBE.

a b c (Å): 3.721 3.721 18.669
angles (deg): 90.00 90.00 90.00
Element x y z (fractional)
1 Ho 0.000 0.000 0.100
2 Ho 0.000 0.000 0.300
3 Ho 0.000 0.000 0.700
4 Ho 0.000 0.000 0.900
5 Er 0.000 0.000 0.500
6 Cd 0.500 0.500 0.000
7 Cd 0.500 0.500 0.200
8 Cd 0.500 0.500 0.401
9 Cd 0.500 0.500 0.599
10 Cd 0.500 0.500 0.800

## Properties
- ΔH_f (0 K) (eV/atom) = -0.32
- space group = P4/mmm
- electronic total energy (Ry/atom) = -0.2250

=====

Here is a relaxed structure of Ho3ErCd from Alexandria. Energies are from PBE.

a b c (Å): 9.100 9.100 9.519
angles (deg): 90.00 90.00 156.68
Element x y z (fractional)
1 Ho 0.012 0.988 0.750
2 Ho 0.397 0.603 0.506
3 Ho 0.397 0.603 0.994
4 Ho 0.603 0.397 0.006
5 Ho 0.603 0.397 0.494
6 Ho 0.988 0.012 0.250
7 Er 0.201 0.799 0.750
8 Er 0.799 0.201 0.250
9 Cd 0.165 0.835 0.250
10 Cd 0.835 0.165 0.750

## Properties
- ΔH_f (0 K) (eV/atom) = 0.07
- E above lowest polymorph (eV/atom) = 0.175
- space group = Cmcm
- electronic total energy (Ry/atom) = -0.2774